Crystalline LaFeSi2W at its relaxed geometry. Source: Alexandria via LeMat-Bulk, functional PBE-GGA.

a b c (Å): 5.079 4.257 5.079
angles (deg): 90.00 90.00 90.00
Atoms (fractional coordinates):
Si 0.000 0.000 0.500
Si 0.500 0.000 0.000
Fe 0.000 0.500 0.000
W 0.500 0.500 0.500
La 0.000 0.000 0.000

For the total energy, the calculation gives -5.072 eV/atom. As for the space group: No. 123. For the mass density, the calculation gives 6.6 Mg/m³. The formation energy (no corrections) is 2.37 eV/atom. The calculation puts the volume at 109.8 Å³ per cell. The calculation puts the density of states at the Fermi level at 1.78 states/eV/atom.